[1]
{
  "formula": "Sc2TePt",
  "functional": "GGA-PBE",
  "state": "relaxed",
  "cell": [[3.9207, 0.0000, 0.0000], [0.0000, 3.9207, 0.0000], [0.0000, 0.0000, 6.0373]],
  "species": ["Sc", "Sc", "Te", "Pt"],
  "fractional_positions": [[0.0000, 0.0000, 0.0000], [0.5000, 0.5000, 0.3748], [0.0000, 0.0000, 0.5153], [0.5000, 0.5000, 0.9545]],
  "formation_energy_uncorrected_ev_per_atom": -0.953,
  "e_tot_ev_per_cell": -25.66,
  "space_group": "P4mm (99)"
}


[2]
{
  "formula": "Sc2TePt",
  "functional": "GGA-PBE",
  "state": "relaxed",
  "cell": [[-2.2834, 2.2834, 3.9180], [2.2834, -2.2834, 3.9180], [2.2834, 2.2834, -3.9180]],
  "species": ["Sc", "Sc", "Te", "Pt"],
  "fractional_positions": [[0.2500, 0.7500, 0.5000], [0.7500, 0.2500, 0.5000], [0.0000, 0.0000, 0.0000], [0.5000, 0.5000, 0.0000]],
  "formation_energy_uncorrected_ev_per_atom": -0.840,
  "e_tot_ev_per_cell": -25.21,
  "space_group": "I4/mmm (139)"
}


[3]
{
  "formula": "Sc2TePt",
  "functional": "GGA-PBE",
  "state": "relaxed",
  "cell": [[3.8926, 0.0000, 0.0000], [0.0000, 4.0565, 0.0000], [-1.9200, 0.0000, 5.4772]],
  "species": ["Sc", "Sc", "Te", "Pt"],
  "fractional_positions": [[0.0000, 0.0000, 0.0000], [0.2963, 0.5000, 0.5945], [0.5708, 0.5000, 0.1436], [0.7660, 0.0000, 0.5227]],
  "formation_energy_uncorrected_ev_per_atom": -1.024,
  "e_tot_ev_per_cell": -25.94,
  "space_group": "Pm (6)"
}


- Which formula does entry 2 have?
  Sc2TePt